First-principles (PBE with a Hubbard U) data for a relaxed structure of PaCrNiO6, as listed in Alexandria.

Unit cell a=5.347 b=5.347 c=8.592 alpha=90.00 beta=90.00 gamma=120.00
Atoms (fractional coordinates):
Pa 0.333 0.667 0.250
Pa 0.667 0.333 0.750
Cr 0.333 0.667 0.750
Cr 0.667 0.333 0.250
Ni 0.000 0.000 0.000
Ni 0.000 0.000 0.500
O 0.035 0.361 0.628
O 0.035 0.674 0.872
O 0.326 0.361 0.872
O 0.326 0.965 0.628
O 0.361 0.035 0.128
O 0.361 0.326 0.372
O 0.639 0.674 0.628
O 0.639 0.965 0.872
O 0.674 0.035 0.372
O 0.674 0.639 0.128
O 0.965 0.326 0.128
O 0.965 0.639 0.372

* space group: P-31c (163)
* total DFT energy (no corrections): -7.4417 eV/atom
* density of states at the Fermi level: 0.37 states/eV/atom